Record 1
Below is Pm2SmZn2Ge2 after structural relaxation, with properties calculated at the PBE-GGA level.

Output
Crystal system: trigonal
Formation enthalpy at 0 K in eV/atom: -0.486
Density of states at the Fermi level in states/eV/f.u.: 5.8

```
data_Pm2SmZn2Ge2
_cell_length_a 4.1843
_cell_length_b 4.1843
_cell_length_c 34.2842
_cell_angle_alpha 90.00
_cell_angle_beta 90.00
_cell_angle_gamma 120.00
_symmetry_space_group_name_H-M 'R -3 m'
_symmetry_Int_Tables_number 166
_symmetry_space_group_name_Hall '-R 3 2"'
loop_
_atom_site_label
_atom_site_type_symbol
_atom_site_fract_x
_atom_site_fract_y
_atom_site_fract_z
Pm1 Pm 0.0000 0.0000 0.1221
Sm1 Sm 0.0000 0.0000 0.0000
Zn1 Zn 0.0000 0.0000 0.3961
Ge1 Ge 0.0000 0.0000 0.2732
```

Record 2
Below is Tb3Pr2Y2 after structural relaxation, with properties calculated at the PBE-GGA level.

Output
Crystal system: monoclinic
Energy above the lowest structure with this stoichiometry in eV/f.u.: 0.74
Formation enthalpy at 0 K in eV/atom: 0.123
Density of states at the Fermi level in states/eV/f.u.: 11.9

```
data_Tb3Pr2Y2
_cell_length_a 16.808
_cell_length_b 3.540
_cell_length_c 8.821
_cell_angle_alpha 90.00
_cell_angle_beta 116.10
_cell_angle_gamma 90.00
_symmetry_space_group_name_H-M 'C 1 2/m 1'
_symmetry_Int_Tables_number 12
loop_
_symmetry_equiv_pos_as_xyz
'x,y,z'
'-x,-y,-z'
'-x,y,-z'
'x,-y,z'
'x+1/2,y+1/2,z'
'-x+1/2,-y+1/2,-z'
'-x+1/2,y+1/2,-z'
'x+1/2,-y+1/2,z'
loop_
_atom_site_label
_atom_site_type_symbol
_atom_site_fract_x
_atom_site_fract_y
_atom_site_fract_z
Tb1 Tb 0.000 0.000 0.000
Tb2 Tb 0.221 0.000 0.147
Pr1 Pr 0.080 0.000 0.702
Y1 Y 0.139 0.500 0.406
```

Record 3
Below is TmZn2Pt8 after structural relaxation, with properties calculated at the PBE-GGA level.

Output
Crystal system: monoclinic
Formation enthalpy at 0 K in eV/atom: -0.378
Density of states at the Fermi level in states/eV/f.u.: 8.4

```
data_TmZn2Pt8
_cell_length_a 7.461
_cell_length_b 12.107
_cell_length_c 4.717
_cell_angle_alpha 90.00
_cell_angle_beta 119.05
_cell_angle_gamma 90.00
_symmetry_space_group_name_H-M 'C 1 2/m 1'
_symmetry_Int_Tables_number 12
loop_
_symmetry_equiv_pos_as_xyz
'x,y,z'
'-x,-y,-z'
'-x,y,-z'
'x,-y,z'
'x+1/2,y+1/2,z'
'-x+1/2,-y+1/2,-z'
'-x+1/2,y+1/2,-z'
'x+1/2,-y+1/2,z'
loop_
_atom_site_label
_atom_site_type_symbol
_atom_site_fract_x
_atom_site_fract_y
_atom_site_fract_z
Tm1 Tm 0.000 0.000 0.000
Zn1 Zn 0.000 0.310 0.500
Pt1 Pt 0.000 0.227 0.000
Pt2 Pt 0.077 0.500 0.808
Pt3 Pt 0.206 0.118 0.631
```

Record 4
Below is CsMnPtCl6 after structural relaxation, with properties calculated at the PBE-GGA level.

Output
Crystal system: monoclinic
Uncorrected formation energy in meV/atom: -979

```
data_CsMnPtCl6
_cell_length_a 6.676
_cell_length_b 11.078
_cell_length_c 7.875
_cell_angle_alpha 90.00
_cell_angle_beta 92.25
_cell_angle_gamma 90.00
_symmetry_space_group_name_H-M 'C 1 2 1'
_symmetry_Int_Tables_number 5
loop_
_symmetry_equiv_pos_as_xyz
'x,y,z'
'-x,y,-z'
'x+1/2,y+1/2,z'
'-x+1/2,y+1/2,-z'
loop_
_atom_site_label
_atom_site_type_symbol
_atom_site_fract_x
_atom_site_fract_y
_atom_site_fract_z
Cs1 Cs 0.000 0.000 0.000
Mn1 Mn 0.000 0.330 0.500
Pt1 Pt 0.000 0.674 0.500
Cl1 Cl 0.135 0.517 0.669
Cl2 Cl 0.173 0.820 0.667
Cl3 Cl 0.187 0.197 0.700
```

Record 5
Below is Al2Tl5Cl12 after structural relaxation, with properties calculated at the PBE-GGA level.

Output
Crystal system: monoclinic
Uncorrected formation energy in meV/atom: -1142
Density of states at the Fermi level in states/eV/f.u.: 5.8

```
data_Al2Tl5Cl12
_cell_length_a 16.895
_cell_length_b 7.329
_cell_length_c 10.086
_cell_angle_alpha 90.00
_cell_angle_beta 107.88
_cell_angle_gamma 90.00
_symmetry_space_group_name_H-M 'C 1 2/m 1'
_symmetry_Int_Tables_number 12
loop_
_symmetry_equiv_pos_as_xyz
'x,y,z'
'-x,-y,-z'
'-x,y,-z'
'x,-y,z'
'x+1/2,y+1/2,z'
'-x+1/2,-y+1/2,-z'
'-x+1/2,y+1/2,-z'
'x+1/2,-y+1/2,z'
loop_
_atom_site_label
_atom_site_type_symbol
_atom_site_fract_x
_atom_site_fract_y
_atom_site_fract_z
Al1 Al 0.000 0.247 0.000
Tl1 Tl 0.000 0.000 0.500
Tl2 Tl 0.187 0.500 0.822
Tl3 Tl 0.203 0.500 0.364
Cl1 Cl 0.003 0.000 0.162
Cl2 Cl 0.003 0.500 0.163
Cl3 Cl 0.132 0.249 0.561
Cl4 Cl 0.139 0.252 0.066
```

Record 6
Below is PrBiAs2Pd5 after structural relaxation, with properties calculated at the PBE-GGA level.

Output
Crystal system: tetragonal
Formation enthalpy at 0 K in eV/atom: -0.476
Density of states at the Fermi level in states/eV/f.u.: 2.4

```
data_PrBiAs2Pd5
_cell_length_a 4.798
_cell_length_b 4.798
_cell_length_c 7.714
_cell_angle_alpha 90.00
_cell_angle_beta 90.00
_cell_angle_gamma 90.00
_symmetry_space_group_name_H-M 'P 4/m m m'
_symmetry_Int_Tables_number 123
_symmetry_space_group_name_Hall '-P 4 2'
loop_
_atom_site_label
_atom_site_type_symbol
_atom_site_fract_x
_atom_site_fract_y
_atom_site_fract_z
Pr1 Pr 0.000 0.000 0.000
Bi1 Bi 0.000 0.000 0.500
As1 As 0.500 0.500 0.331
Pd1 Pd 0.000 0.500 0.246
Pd2 Pd 0.500 0.500 0.000
```

Record 7
Below is HgPt3 after structural relaxation, with properties calculated at the PBE-GGA level.

Output
Crystal system: tetragonal
Formation enthalpy at 0 K in eV/atom: 0.044
Density of states at the Fermi level in states/eV/f.u.: 4.4

```
data_HgPt3
_cell_length_a 2.869
_cell_length_b 2.869
_cell_length_c 8.187
_cell_angle_alpha 90.00
_cell_angle_beta 90.00
_cell_angle_gamma 90.00
_symmetry_space_group_name_H-M 'P 4/m m m'
_symmetry_Int_Tables_number 123
_symmetry_space_group_name_Hall '-P 4 2'
loop_
_atom_site_label
_atom_site_type_symbol
_atom_site_fract_x
_atom_site_fract_y
_atom_site_fract_z
Hg1 Hg 0.000 0.000 0.000
Pt1 Pt 0.000 0.000 0.500
Pt2 Pt 0.500 0.500 0.261
```

Record 8
Below is YMnCd2 after structural relaxation, with properties calculated at the PBE-GGA level.

Output
Crystal system: tetragonal
Formation enthalpy at 0 K in eV/atom: 0.028
Density of states at the Fermi level in states/eV/f.u.: 3.8

```
data_YMnCd2
_cell_length_a 4.463
_cell_length_b 4.463
_cell_length_c 4.526
_cell_angle_alpha 90.00
_cell_angle_beta 90.00
_cell_angle_gamma 90.00
_symmetry_space_group_name_H-M 'P 4/m m m'
_symmetry_Int_Tables_number 123
_symmetry_space_group_name_Hall '-P 4 2'
loop_
_atom_site_label
_atom_site_type_symbol
_atom_site_fract_x
_atom_site_fract_y
_atom_site_fract_z
Y1 Y 0.000 0.000 0.000
Mn1 Mn 0.500 0.500 0.000
Cd1 Cd 0.000 0.500 0.500
```

Record 9
Below is TbTh2Al4 after structural relaxation, with properties calculated at the PBE-GGA level.

Output
Crystal system: tetragonal
Formation enthalpy at 0 K in eV/atom: 0.447
Density of states at the Fermi level in states/eV/f.u.: 7.7

```
data_TbTh2Al4
_cell_length_a 5.156
_cell_length_b 5.156
_cell_length_c 15.681
_cell_angle_alpha 90.00
_cell_angle_beta 90.00
_cell_angle_gamma 90.00
_symmetry_space_group_name_H-M 'I 4/m m m'
_symmetry_Int_Tables_number 139
_symmetry_space_group_name_Hall '-I 4 2'
loop_
_atom_site_label
_atom_site_type_symbol
_atom_site_fract_x
_atom_site_fract_y
_atom_site_fract_z
Tb1 Tb 0.000 0.000 0.000
Th1 Th 0.000 0.000 0.380
Al1 Al 0.000 0.000 0.181
Al2 Al 0.000 0.500 0.000
```

Record 10
Below is MgCrTe2 after structural relaxation, with properties calculated at the PBE-GGA level.

Output
Crystal system: orthorhombic
Uncorrected formation energy in meV/atom: -57
Density of states at the Fermi level in states/eV/f.u.: 1.5

```
data_MgCrTe2
_cell_length_a 3.998
_cell_length_b 7.906
_cell_length_c 7.793
_cell_angle_alpha 90.00
_cell_angle_beta 90.00
_cell_angle_gamma 90.00
_symmetry_space_group_name_H-M 'C m m m'
_symmetry_Int_Tables_number 65
_symmetry_space_group_name_Hall '-C 2 2'
loop_
_atom_site_label
_atom_site_type_symbol
_atom_site_fract_x
_atom_site_fract_y
_atom_site_fract_z
Mg1 Mg 0.000 0.000 0.000
Cr1 Cr 0.000 0.000 0.500
Te1 Te 0.000 0.500 0.259
```